14
Lattice="8.634 -0.538 0.066 2.229 8.358 0.066 3.029 2.181 4.473" Properties=species:S:1:pos:R:3 comment="Sc5TlAg GGA-PBE optimized geometry" ef_mev_per_atom=-45 spacegroup=C2/c pbc="T T T"
Sc 4.454 2.088 1.829
Sc 8.768 2.107 4.421
Sc 4.908 4.652 4.066
Sc 8.984 5.349 0.539
Sc 6.235 7.585 3.421
Sc 10.626 3.445 2.420
Sc 9.437 7.913 2.775
Sc 7.657 2.416 1.184
Sc 5.124 7.894 0.183
Sc 3.266 6.556 2.185
Ag 1.515 1.090 2.236
Ag 0.000 0.000 0.000
Tl 5.742 5.076 1.184
Tl 8.150 4.926 3.421